Entry 1:
Computed, not measured: AcThPt10 after structural relaxation at the GGA-PBE level of DFT.

```
data_AcThPt10
_cell_length_a 4.441
_cell_length_b 5.481
_cell_length_c 9.454
_cell_angle_alpha 90.00
_cell_angle_beta 90.00
_cell_angle_gamma 90.00
_space_group_name_H-M_alt 'P m m m'
_space_group_IT_number 47
loop_
_space_group_symop_operation_xyz
'x,y,z'
'-x,-y,-z'
'-x,-y,z'
'x,y,-z'
'x,-y,-z'
'-x,y,z'
'-x,y,-z'
'x,-y,z'
loop_
_atom_site_label
_atom_site_fract_x
_atom_site_fract_y
_atom_site_fract_z
Ac1 0.000 0.000 0.000
Th1 0.000 0.500 0.500
Pt1 0.000 0.000 0.338
Pt2 0.000 0.500 0.174
Pt3 0.500 0.000 0.500
Pt4 0.500 0.254 0.256
Pt5 0.500 0.500 0.000
```

Final energy = -81.45 eV per cell
Formation enthalpy at 0 K = -0.7932 eV per atom

=====

Entry 2:
Computed, not measured: Lu2ZrRh after structural relaxation at the GGA-PBE level of DFT.

```
data_Lu2ZrRh
_cell_length_a 3.392
_cell_length_b 3.392
_cell_length_c 7.818
_cell_angle_alpha 90.00
_cell_angle_beta 90.00
_cell_angle_gamma 90.00
_space_group_name_H-M_alt 'P 4/m m m'
_space_group_IT_number 123
_space_group_name_Hall '-P 4 2'
loop_
_atom_site_label
_atom_site_fract_x
_atom_site_fract_y
_atom_site_fract_z
Lu1 0.000 0.000 0.207
Zr1 0.500 0.500 0.500
Rh1 0.500 0.500 0.000
```

Final energy = -26.74 eV per cell
Formation enthalpy at 0 K = -0.4484 eV per atom

=====

Entry 3:
Computed, not measured: Pr4Sn2N after structural relaxation at the GGA-PBE level of DFT.

```
data_Pr4Sn2N
_cell_length_a 6.810
_cell_length_b 6.967
_cell_length_c 9.599
_cell_angle_alpha 90.00
_cell_angle_beta 110.79
_cell_angle_gamma 90.00
_space_group_name_H-M_alt 'P 1 21/m 1'
_space_group_IT_number 11
loop_
_space_group_symop_operation_xyz
'x,y,z'
'-x,-y,-z'
'-x,y+1/2,-z'
'x,-y+1/2,z'
loop_
_atom_site_label
_atom_site_fract_x
_atom_site_fract_y
_atom_site_fract_z
Pr1 0.018 0.002 0.279
Pr2 0.374 0.250 0.053
Pr3 0.432 0.250 0.656
Sn1 0.193 0.750 0.035
Sn2 0.313 0.750 0.586
N1 0.209 0.250 0.793
```

Offset from the most stable computed form = 0.0281 eV/atom
Final energy = -82.37 eV per cell
Formation energy from raw total energies = -79 kJ per mole of atoms

=====

Entry 4:
Computed, not measured: ZrTcP2Cl after structural relaxation at the GGA-PBE level of DFT.

```
data_ZrTcP2Cl
_cell_length_a 4.578
_cell_length_b 4.578
_cell_length_c 4.749
_cell_angle_alpha 90.00
_cell_angle_beta 90.00
_cell_angle_gamma 90.00
_space_group_name_H-M_alt 'P 4/m m m'
_space_group_IT_number 123
_space_group_name_Hall '-P 4 2'
loop_
_atom_site_label
_atom_site_fract_x
_atom_site_fract_y
_atom_site_fract_z
Zr1 0.000 0.000 0.000
Tc1 0.500 0.500 0.500
P1 0.000 0.500 0.500
Cl1 0.500 0.500 0.000
```

Offset from the most stable computed form = 0.0000 eV/atom
Final energy = -30.00 eV per cell
Formation energy from raw total energies = 31 kJ per mole of atoms

=====

Entry 5:
Computed, not measured: DyPuN2 after structural relaxation at the GGA-PBE level of DFT.

```
data_DyPuN2
_cell_length_a 3.4322
_cell_length_b 3.4322
_cell_length_c 11.6385
_cell_angle_alpha 90.00
_cell_angle_beta 90.00
_cell_angle_gamma 120.00
_space_group_name_H-M_alt 'P 63/m m c'
_space_group_IT_number 194
_space_group_name_Hall '-P 6c 2c'
loop_
_atom_site_label
_atom_site_fract_x
_atom_site_fract_y
_atom_site_fract_z
Dy1 0.0000 0.0000 0.0000
Pu1 0.3333 0.6667 0.2500
N1 0.3333 0.6667 0.6230
```

Final energy = -82.49 eV per cell
Formation energy from raw total energies = -136 kJ per mole of atoms

=====

Entry 6:
Computed, not measured: P2IrSe after structural relaxation at the GGA-PBE level of DFT.

```
data_P2IrSe
_cell_length_a 6.261
_cell_length_b 6.261
_cell_length_c 6.261
_cell_angle_alpha 90.00
_cell_angle_beta 90.00
_cell_angle_gamma 90.00
_space_group_name_H-M_alt 'F -4 3 m'
_space_group_IT_number 216
_space_group_name_Hall 'F -4 2 3'
loop_
_atom_site_label
_atom_site_fract_x
_atom_site_fract_y
_atom_site_fract_z
P1 0.000 0.000 0.000
P2 0.250 0.250 0.250
Ir1 0.250 0.250 0.750
Se1 0.000 0.000 0.500
```

Final energy = -83.14 eV per cell
Formation energy from raw total energies = 57 kJ per mole of atoms

=====

Question: Look up the final energy of the third one.
Answer: -82.37 eV per cell

=====

Repeat the first record exactly.
Computed, not measured: AcThPt10 after structural relaxation at the GGA-PBE level of DFT.

```
data_AcThPt10
_cell_length_a 4.441
_cell_length_b 5.481
_cell_length_c 9.454
_cell_angle_alpha 90.00
_cell_angle_beta 90.00
_cell_angle_gamma 90.00
_space_group_name_H-M_alt 'P m m m'
_space_group_IT_number 47
loop_
_space_group_symop_operation_xyz
'x,y,z'
'-x,-y,-z'
'-x,-y,z'
'x,y,-z'
'x,-y,-z'
'-x,y,z'
'-x,y,-z'
'x,-y,z'
loop_
_atom_site_label
_atom_site_fract_x
_atom_site_fract_y
_atom_site_fract_z
Ac1 0.000 0.000 0.000
Th1 0.000 0.500 0.500
Pt1 0.000 0.000 0.338
Pt2 0.000 0.500 0.174
Pt3 0.500 0.000 0.500
Pt4 0.500 0.254 0.256
Pt5 0.500 0.500 0.000
```

Final energy = -81.45 eV per cell
Formation enthalpy at 0 K = -0.7932 eV per atom